Crystalline HgAuSe2O8 at its relaxed geometry. Source: Alexandria via LeMat-Bulk, functional GGA-PBE.

```
HgAuSe2O8
1.0
5.098 -3.699 0.000
5.098 3.699 0.000
-1.433 0.000 5.120
Hg Au Se O
1 1 2 8
direct
0.000 0.000 0.000
0.500 0.500 0.500
0.302 0.302 0.877
0.698 0.698 0.123
0.128 0.128 0.747
0.188 0.550 0.773
0.317 0.317 0.206
0.450 0.812 0.227
0.550 0.188 0.773
0.683 0.683 0.794
0.812 0.450 0.227
0.872 0.872 0.253
```

Output
Energy   -0.166 Ha/atom